The following is a GGA-PBE calculation of Ti3HgC after structural relaxation, from Alexandria.

Calculated values
The value obtained for the calculated volume is 117.2 Å³/cell. The electronic total energy is -5.25 eV per atom. For the formation energy, the calculation gives 1.395 eV per atom. The calculation puts the energy relative to the lowest polymorph listed for this composition at 1887 meV per atom.

CIF file:
```
data_Ti3HgC
_chemical_formula_sum 'Ti3 Hg1 C1'
_space_group_name_H-M_alt 'P 1'
_space_group_IT_number 1
_cell_length_a 2.873
_cell_length_b 8.905
_cell_length_c 8.905
_cell_angle_alpha 30.95
_cell_angle_beta 90.00
_cell_angle_gamma 90.00
loop_
_space_group_symop_operation_xyz
'x,y,z'
loop_
_atom_site_label
_atom_site_fract_x
_atom_site_fract_y
_atom_site_fract_z
Ti1 0.000 0.000 0.000
Ti2 0.500 0.119 0.619
Ti3 0.500 0.619 0.119
Hg1 0.500 0.213 0.213
C1 0.000 0.111 0.111
```